KIn2Ga2Au2 | PBE-GGA | relaxed

```
KIn2Ga2Au2
1.0
-0.9780 4.3385 0.7708
-4.2712 1.4335 -0.2727
-3.0489 -0.0968 9.8920
Ga Au In K
2 2 2 1
Direct
0.4114 0.4114 0.7658
0.5886 0.5886 0.2342
0.7619 0.7619 0.7142
0.2381 0.2381 0.2858
0.1364 0.1364 0.5907
0.8636 0.8636 0.4093
0.0000 0.0000 0.0000
```

Computed properties:
Its raw total energy is -20.73 eV/cell. The calculation puts the magnetic moment at 0.00 μB per formula unit.